(1)
## MnIrSe2 (PBE)

Data for crystalline MnIrSe2 at its relaxed geometry.

Calculated values
uncorrected energy: -6.176 eV/atom
uncorrected formation energy: 0.07 eV per atom
total magnetic moment: 1.643 μB per cell
energy above the lowest structure with this stoichiometry: 313 meV/atom

Lattice parameters (Å, degrees): 8.0592 8.0592 8.0592 22.59 22.59 22.59
Last column: nearest neighbours and their distance in Å.
Fractional positions:
Mn  0.5000  0.5000  0.5000  6 Se 2.39
Ir  0.0000  0.0000  0.0000  2 Se 2.38
Se  0.8988  0.8988  0.8988  1 Ir 2.38, 3 Mn 2.39
Se  0.1012  0.1012  0.1012  1 Ir 2.38, 3 Mn 2.39

***

(2)
## Mg2GeH2 (PBE)

Data for crystalline Mg2GeH2 at its relaxed geometry.

Calculated values
uncorrected energy: -3.027 eV/atom
total magnetic moment: 0.000 μB per cell
energy above the lowest structure with this stoichiometry: 0 meV/atom

Lattice parameters (Å, degrees): 3.2236 3.2236 6.5548 75.77 75.77 90.00
Last column: nearest neighbours and their distance in Å.
Fractional positions:
H  0.7500  0.2500  0.5000  4 Mg 1.98
H  0.2500  0.7500  0.5000  4 Mg 1.98
Ge  0.0000  0.0000  0.0000  8 Mg 2.98, 4 Ge 3.22
Mg  0.3438  0.3438  0.3124  4 H 1.98
Mg  0.6562  0.6562  0.6876  4 H 1.98

***

N(E_F) values, unit states/eV per cell, following the record order: 2.14, 1.94.